# PBE CaPm3Pr2Se6, relaxed
data_CaPm3Pr2Se6
_chemical_formula_sum 'Ca1 Pm3 Pr2 Se6'
_cell_length_a 4.199
_cell_length_b 8.490
_cell_length_c 9.435
_cell_angle_alpha 102.91
_cell_angle_beta 102.86
_cell_angle_gamma 90.00
_symmetry_space_group_name_H-M 'P 1'
_symmetry_Int_Tables_number 1
loop_
_symmetry_equiv_pos_as_xyz
'x,y,z'
loop_
_atom_site_label
_atom_site_type_symbol
_atom_site_fract_x
_atom_site_fract_y
_atom_site_fract_z
Ca1 Ca 0.500 0.000 0.000
Pm1 Pm 0.500 0.500 0.000
Pm2 Pm 0.830 0.170 0.661
Pm3 Pm 0.170 0.830 0.339
Pr1 Pr 0.830 0.661 0.660
Pr2 Pr 0.170 0.339 0.340
Se1 Se 0.336 0.923 0.673
Se2 Se 0.663 0.586 0.326
Se3 Se 0.664 0.077 0.327
Se4 Se 0.999 0.246 0.998
Se5 Se 0.001 0.754 0.002
Se6 Se 0.337 0.414 0.674
# Total magnetization ... 0.000 μB per atom
# ΔE_f (raw) ... -1.866 eV per atom


# PBE Ca3Pm4PrSe8, relaxed
data_Ca3Pm4PrSe8
_chemical_formula_sum 'Ca3 Pm4 Pr1 Se8'
_cell_length_a 8.384
_cell_length_b 8.439
_cell_length_c 8.386
_cell_angle_alpha 119.78
_cell_angle_beta 120.00
_cell_angle_gamma 90.00
_symmetry_space_group_name_H-M 'P 1'
_symmetry_Int_Tables_number 1
loop_
_symmetry_equiv_pos_as_xyz
'x,y,z'
loop_
_atom_site_label
_atom_site_type_symbol
_atom_site_fract_x
_atom_site_fract_y
_atom_site_fract_z
Ca1 Ca 0.500 0.500 0.000
Ca2 Ca 0.500 0.500 0.500
Ca3 Ca 0.000 0.500 0.500
Pm1 Pm 0.500 0.000 0.000
Pm2 Pm 0.500 0.000 0.500
Pm3 Pm 0.000 0.000 0.000
Pm4 Pm 0.000 0.000 0.500
Pr1 Pr 0.000 0.500 0.000
Se1 Se 0.252 0.748 0.996
Se2 Se 0.252 0.748 0.504
Se3 Se 0.251 0.254 0.503
Se4 Se 0.744 0.748 0.996
Se5 Se 0.256 0.252 0.004
Se6 Se 0.749 0.746 0.497
Se7 Se 0.748 0.252 0.496
Se8 Se 0.748 0.252 0.004
# Total magnetization ... 0.000 μB per atom
# ΔE_f (raw) ... -1.886 eV per atom


# PBE CaPm2PrSe4, relaxed
data_CaPm2PrSe4
_chemical_formula_sum 'Ca1 Pm2 Pr1 Se4'
_cell_length_a 4.189
_cell_length_b 7.302
_cell_length_c 7.327
_cell_angle_alpha 70.93
_cell_angle_beta 90.00
_cell_angle_gamma 90.00
_symmetry_space_group_name_H-M 'P 1'
_symmetry_Int_Tables_number 1
loop_
_symmetry_equiv_pos_as_xyz
'x,y,z'
loop_
_atom_site_label
_atom_site_type_symbol
_atom_site_fract_x
_atom_site_fract_y
_atom_site_fract_z
Ca1 Ca 0.000 0.500 0.500
Pm1 Pm 0.000 0.000 0.000
Pm2 Pm 0.500 0.000 0.500
Pr1 Pr 0.500 0.500 0.000
Se1 Se 0.000 0.751 0.743
Se2 Se 0.000 0.249 0.257
Se3 Se 0.500 0.748 0.255
Se4 Se 0.500 0.252 0.745
# Total magnetization ... 0.000 μB per atom
# ΔE_f (raw) ... -1.869 eV per atom